No. 1
# PBE-GGA Tb6C3S2, optimized geometry
# DFT total energy	-6.7924	eV per atom
# raw formation energy	-1.0007	eV/atom
# total magnetic moment	0.95	μB/f.u.
data_Tb6C3S2
_space_group_name_H-M_alt 'C 1 2/m 1'
_space_group_IT_number 12
_cell_length_a 6.416
_cell_length_b 11.110
_cell_length_c 6.755
_cell_angle_alpha 90.00
_cell_angle_beta 108.59
_cell_angle_gamma 90.00
loop_
_space_group_symop_operation_xyz
'x,y,z'
'-x,-y,-z'
'-x,y,-z'
'x,-y,z'
'x+1/2,y+1/2,z'
'-x+1/2,-y+1/2,-z'
'-x+1/2,y+1/2,-z'
'x+1/2,-y+1/2,z'
loop_
_atom_site_label
_atom_site_type_symbol
_atom_site_fract_x
_atom_site_fract_y
_atom_site_fract_z
Tb1 Tb 0.234 0.170 0.211
Tb2 Tb 0.242 0.500 0.206
C1 C 0.000 0.000 0.000
C2 C 0.000 0.331 0.000
S1 S 0.000 0.166 0.500


No. 2
# PBE-GGA TaCuAs2, optimized geometry
# DFT total energy	-6.2769	eV per atom
# ΔE_f	14	kJ/mol of formula units
# total magnetic moment	0.00	μB/f.u.
data_TaCuAs2
_space_group_name_H-M_alt 'P 4/m m m'
_space_group_IT_number 123
_space_group_name_Hall '-P 4 2'
_cell_length_a 4.383
_cell_length_b 4.383
_cell_length_c 3.331
_cell_angle_alpha 90.00
_cell_angle_beta 90.00
_cell_angle_gamma 90.00
loop_
_atom_site_label
_atom_site_type_symbol
_atom_site_fract_x
_atom_site_fract_y
_atom_site_fract_z
Ta1 Ta 0.000 0.000 0.000
Cu1 Cu 0.500 0.500 0.000
As1 As 0.000 0.500 0.500


No. 3
# PBE-GGA Li5Ge3H12, optimized geometry
# DFT total energy	-3.0318	eV per atom
# total magnetic moment	0.00	μB/f.u.
data_Li5Ge3H12
_space_group_name_H-M_alt 'I a -3 d'
_space_group_IT_number 230
_space_group_name_Hall '-I 4bd 2c 3'
_cell_length_a 11.336
_cell_length_b 11.336
_cell_length_c 11.336
_cell_angle_alpha 90.00
_cell_angle_beta 90.00
_cell_angle_gamma 90.00
loop_
_atom_site_label
_atom_site_type_symbol
_atom_site_fract_x
_atom_site_fract_y
_atom_site_fract_z
Li1 Li 0.000 0.000 0.000
Li2 Li 0.000 0.250 0.375
Ge1 Ge 0.000 0.250 0.125
H1 H 0.018 0.072 0.654


No. 4
# PBE-GGA HgIrRu2, optimized geometry
# DFT total energy	-6.4218	eV per atom
# ΔE_f	196	kJ/mol of formula units
# total magnetic moment	0.96	μB/f.u.
data_HgIrRu2
_space_group_name_H-M_alt 'P m m 2'
_space_group_IT_number 25
_cell_length_a 2.809
_cell_length_b 4.506
_cell_length_c 4.998
_cell_angle_alpha 90.00
_cell_angle_beta 90.00
_cell_angle_gamma 90.00
loop_
_space_group_symop_operation_xyz
'x,y,z'
'-x,-y,z'
'-x,y,z'
'x,-y,z'
loop_
_atom_site_label
_atom_site_type_symbol
_atom_site_fract_x
_atom_site_fract_y
_atom_site_fract_z
Hg1 Hg 0.000 0.000 0.000
Ir1 Ir 0.500 0.500 0.784
Ru1 Ru 0.000 0.500 0.335
Ru2 Ru 0.500 0.000 0.495


No. 5
# PBE-GGA BaPuSe2, optimized geometry
# distance to the lowest polymorph of the same formula	0	meV/atom
# DFT total energy	-7.5237	eV per atom
# raw formation energy	-1.7178	eV/atom
# total magnetic moment	5.87	μB/f.u.
data_BaPuSe2
_space_group_name_H-M_alt 'R -3 m'
_space_group_IT_number 166
_space_group_name_Hall '-R 3 2"'
_cell_length_a 4.3798
_cell_length_b 4.3798
_cell_length_c 22.1573
_cell_angle_alpha 90.00
_cell_angle_beta 90.00
_cell_angle_gamma 120.00
loop_
_atom_site_label
_atom_site_type_symbol
_atom_site_fract_x
_atom_site_fract_y
_atom_site_fract_z
Ba1 Ba 0.0000 0.0000 0.0000
Pu1 Pu 0.0000 0.0000 0.5000
Se1 Se 0.0000 0.0000 0.2389


No. 6
# PBE-GGA Pm7SiCl12, optimized geometry
# DFT total energy	-4.9883	eV per atom
# raw formation energy	-1.9465	eV/atom
# total magnetic moment	0.00	μB/f.u.
data_Pm7SiCl12
_space_group_name_H-M_alt 'R -3'
_space_group_IT_number 148
_space_group_name_Hall '-R 3'
_cell_length_a 14.5976
_cell_length_b 14.5976
_cell_length_c 9.8767
_cell_angle_alpha 90.00
_cell_angle_beta 90.00
_cell_angle_gamma 120.00
loop_
_atom_site_label
_atom_site_type_symbol
_atom_site_fract_x
_atom_site_fract_y
_atom_site_fract_z
Pm1 Pm 0.0000 0.0000 0.0000
Pm2 Pm 0.0450 0.1725 0.3426
Si1 Si 0.0000 0.0000 0.5000
Cl1 Cl 0.0257 0.5856 0.1630
Cl2 Cl 0.0455 0.1737 0.8389


No. 7
# PBE-GGA Na2In6PtRh, optimized geometry
# DFT total energy	-3.4438	eV per atom
# ΔE_f	-191	kJ/mol of formula units
# total magnetic moment	0.00	μB/f.u.
data_Na2In6PtRh
_space_group_name_H-M_alt 'F m -3 m'
_space_group_IT_number 225
_space_group_name_Hall '-F 4 2 3'
_cell_length_a 10.405
_cell_length_b 10.405
_cell_length_c 10.405
_cell_angle_alpha 90.00
_cell_angle_beta 90.00
_cell_angle_gamma 90.00
loop_
_atom_site_label
_atom_site_type_symbol
_atom_site_fract_x
_atom_site_fract_y
_atom_site_fract_z
Na1 Na 0.250 0.250 0.250
In1 In 0.000 0.000 0.248
Pt1 Pt 0.000 0.000 0.500
Rh1 Rh 0.000 0.000 0.000